P) The following is a DFT calculation (PBE) of a geometry-optimized Cs3Hg6Au2 structure.

abc: 5.230 5.230 15.014
angles: 100.03 100.03 90.00
Positions (direct):
1 Hg 0.598 0.098 0.195
2 Hg 0.402 0.902 0.805
3 Hg 0.664 0.664 0.329
4 Hg 0.336 0.336 0.671
5 Hg 0.902 0.402 0.805
6 Hg 0.098 0.598 0.195
7 Cs 0.196 0.196 0.393
8 Cs 0.000 0.000 0.000
9 Cs 0.804 0.804 0.607
10 Au 0.547 0.547 0.094
11 Au 0.453 0.453 0.906

---

Q) The following is a DFT calculation (PBE) of a geometry-optimized Cs3Hg6Au2 structure.

abc: 4.892 4.892 18.089
angles: 97.77 97.77 90.00
Positions (direct):
1 Cs 0.172 0.172 0.344
2 Cs 0.828 0.828 0.656
3 Cs 0.000 0.000 0.000
4 Au 0.636 0.636 0.272
5 Au 0.364 0.364 0.728
6 Hg 0.724 0.724 0.447
7 Hg 0.084 0.584 0.169
8 Hg 0.916 0.416 0.831
9 Hg 0.416 0.916 0.831
10 Hg 0.584 0.084 0.169
11 Hg 0.276 0.276 0.553

---

Of them, Q) has the highest stability.

---

P) The following is a DFT calculation (PBE) of a geometry-optimized CsMgHg2Au structure.

abc: 5.629 5.629 5.239
angles: 90.00 90.00 90.00
Positions (direct):
1 Hg 0.000 0.500 0.000
2 Hg 0.500 0.000 0.000
3 Au 0.000 0.000 0.000
4 Mg 0.000 0.000 0.500
5 Cs 0.500 0.500 0.500

---

Q) The following is a DFT calculation (PBE) of a geometry-optimized CsMgHg2Au structure.

abc: 5.703 5.703 5.364
angles: 90.00 90.00 90.00
Positions (direct):
1 Cs 0.500 0.500 0.500
2 Hg 0.000 0.500 0.000
3 Hg 0.500 0.000 0.000
4 Au 0.000 0.000 0.500
5 Mg 0.000 0.000 0.000

---

Of them, Q) has the highest stability.

---

P) The following is a DFT calculation (PBE) of a geometry-optimized CsNaHgAu structure.

abc: 5.879 5.879 5.879
angles: 60.00 60.00 60.00
Positions (direct):
1 Hg 0.500 0.500 0.500
2 Cs 0.750 0.750 0.750
3 Au 0.000 0.000 0.000
4 Na 0.250 0.250 0.250

---

Q) The following is a DFT calculation (PBE) of a geometry-optimized CsNaHgAu structure.

abc: 5.180 5.167 6.969
angles: 111.80 90.00 120.08
Positions (direct):
1 Au 0.423 0.847 0.911
2 Cs 0.619 0.237 0.498
3 Hg 0.819 0.638 0.101
4 Na 0.105 0.210 0.958

---

Of them, Q) has the highest stability.

---

P) The following is a DFT calculation (PBE) of a geometry-optimized CsNa2HgAu structure.

abc: 5.826 5.826 5.504
angles: 90.00 90.00 90.00
Positions (direct):
1 Cs 0.500 0.500 0.500
2 Au 0.000 0.000 0.000
3 Hg 0.000 0.000 0.500
4 Na 0.000 0.500 0.000
5 Na 0.500 0.000 0.000

---

Q) The following is a DFT calculation (PBE) of a geometry-optimized CsNa2HgAu structure.

abc: 5.731 5.731 6.828
angles: 90.00 90.00 90.00
Positions (direct):
1 Na 0.000 0.500 0.000
2 Na 0.500 0.000 0.000
3 Hg 0.500 0.500 0.500
4 Au 0.000 0.000 0.000
5 Cs 0.000 0.000 0.500

---

Of them, P) has the highest stability.

---

P) The following is a DFT calculation (PBE) of a geometry-optimized CsHgPbAu2 structure.

abc: 5.090 4.498 7.426
angles: 107.63 110.04 90.00
Positions (direct):
1 Cs 0.449 0.449 0.897
2 Au 0.682 0.182 0.363
3 Au 0.056 0.056 0.111
4 Hg 0.836 0.836 0.671
5 Pb 0.191 0.691 0.381

---

Q) The following is a DFT calculation (PBE) of a geometry-optimized CsHgPbAu2 structure.

abc: 5.714 5.714 5.780
angles: 90.00 90.00 90.00
Positions (direct):
1 Au 0.000 0.500 0.000
2 Au 0.500 0.000 0.000
3 Hg 0.000 0.000 0.500
4 Cs 0.500 0.500 0.500
5 Pb 0.000 0.000 0.000

---

Of them, P) has the highest stability.

---

P) The following is a DFT calculation (PBE) of a geometry-optimized CsHg2PbAu structure.

abc: 6.082 6.082 5.667
angles: 90.00 90.00 90.00
Positions (direct):
1 Pb 0.000 0.000 0.000
2 Au 0.000 0.000 0.500
3 Hg 0.500 0.000 0.000
4 Hg 0.000 0.500 0.000
5 Cs 0.500 0.500 0.500

---

Q) The following is a DFT calculation (PBE) of a geometry-optimized CsHg2PbAu structure.

abc: 5.614 5.614 5.659
angles: 90.00 90.00 90.00
Positions (direct):
1 Hg 0.500 0.000 0.000
2 Hg 0.000 0.500 0.000
3 Cs 0.500 0.500 0.500
4 Pb 0.000 0.000 0.500
5 Au 0.000 0.000 0.000

---

R) The following is a DFT calculation (PBE) of a geometry-optimized CsHg2PbAu structure.

abc: 4.964 5.129 7.336
angles: 110.46 109.77 90.00
Positions (direct):
1 Cs 0.443 0.443 0.885
2 Hg 0.702 0.202 0.403
3 Hg 0.048 0.048 0.095
4 Pb 0.200 0.700 0.399
5 Au 0.821 0.821 0.641

---

Of them, R) has the highest stability.

---

P) The following is a DFT calculation (PBE) of a geometry-optimized CsHg2PdAu structure.

abc: 5.386 5.386 5.427
angles: 90.00 90.00 90.00
Positions (direct):
1 Hg 0.500 0.000 0.000
2 Hg 0.000 0.500 0.000
3 Au 0.000 0.000 0.500
4 Pd 0.000 0.000 0.000
5 Cs 0.500 0.500 0.500

---

Q) The following is a DFT calculation (PBE) of a geometry-optimized CsHg2PdAu structure.

abc: 5.466 5.466 5.397
angles: 90.00 90.00 90.00
Positions (direct):
1 Cs 0.500 0.500 0.500
2 Hg 0.500 0.000 0.000
3 Hg 0.000 0.500 0.000
4 Au 0.000 0.000 0.000
5 Pd 0.000 0.000 0.500

---

Of them, P) has the highest stability.

---

P) The following is a DFT calculation (PBE) of a geometry-optimized Cs2HgPdAu structure.

abc: 6.450 6.450 5.284
angles: 90.00 90.00 90.00
Positions (direct):
1 Cs 0.000 0.500 0.000
2 Cs 0.500 0.000 0.000
3 Pd 0.000 0.000 0.000
4 Hg 0.500 0.500 0.500
5 Au 0.000 0.000 0.500

---

Q) The following is a DFT calculation (PBE) of a geometry-optimized Cs2HgPdAu structure.

abc: 6.541 6.541 5.294
angles: 90.00 90.00 90.00
Positions (direct):
1 Hg 0.000 0.000 0.500
2 Cs 0.000 0.500 0.000
3 Cs 0.500 0.000 0.000
4 Au 0.500 0.500 0.500
5 Pd 0.000 0.000 0.000

---

Of them, Q) has the highest stability.

---

P) The following is a DFT calculation (PBE) of a geometry-optimized CsRbHgAu structure.

abc: 5.260 5.030 7.149
angles: 90.00 111.58 90.00
Positions (direct):
1 Hg 0.563 0.500 0.126
2 Cs 0.856 0.500 0.712
3 Au 0.442 0.000 0.884
4 Rb 0.139 0.000 0.277

---

Q) The following is a DFT calculation (PBE) of a geometry-optimized CsRbHgAu structure.

abc: 6.225 6.225 6.225
angles: 60.00 60.00 60.00
Positions (direct):
1 Rb 0.250 0.250 0.250
2 Hg 0.500 0.500 0.500
3 Cs 0.750 0.750 0.750
4 Au 0.000 0.000 0.000

---

Of them, P) has the highest stability.

---

P) The following is a DFT calculation (PBE) of a geometry-optimized Cs2HgAuS structure.

abc: 5.186 7.917 11.055
angles: 107.23 90.00 90.00
Positions (direct):
1 S 0.250 0.800 0.822
2 S 0.750 0.200 0.178
3 Cs 0.750 0.763 0.020
4 Cs 0.250 0.237 0.980
5 Cs 0.250 0.162 0.375
6 Cs 0.750 0.838 0.625
7 Hg 0.250 0.467 0.721
8 Hg 0.750 0.533 0.279
9 Au 0.750 0.342 0.688
10 Au 0.250 0.658 0.312

---

Q) The following is a DFT calculation (PBE) of a geometry-optimized Cs2HgAuS structure.

abc: 6.839 6.839 4.833
angles: 90.00 90.00 90.00
Positions (direct):
1 Cs 0.500 0.000 0.000
2 Cs 0.000 0.500 0.000
3 S 0.000 0.000 0.000
4 Hg 0.500 0.500 0.500
5 Au 0.000 0.000 0.500

---

Of them, P) has the highest stability.

---

P) The following is a DFT calculation (PBE) of a geometry-optimized CsHgSbAu2 structure.

abc: 5.419 6.047 5.419
angles: 90.00 90.00 90.00
Positions (direct):
1 Au 0.500 0.000 0.000
2 Au 0.000 0.000 0.500
3 Sb 0.000 0.000 0.000
4 Hg 0.000 0.500 0.000
5 Cs 0.500 0.500 0.500

---

Q) The following is a DFT calculation (PBE) of a geometry-optimized CsHgSbAu2 structure.

abc: 5.137 5.137 7.095
angles: 111.23 111.23 90.00
Positions (direct):
1 Sb 0.160 0.160 0.320
2 Cs 0.501 0.501 0.002
3 Hg 0.864 0.864 0.728
4 Au 0.738 0.238 0.475
5 Au 0.238 0.738 0.475

---

Of them, Q) has the highest stability.

---

P) The following is a DFT calculation (PBE) of a geometry-optimized CsHg2SbAu structure.

abc: 5.598 5.598 5.620
angles: 90.00 90.00 90.00
Each line ends with the local moment (μB).
Positions (direct):
1 Sb 0.000 0.000 0.500  0.22
2 Au 0.000 0.000 0.000  0.03
3 Cs 0.500 0.500 0.500  0.01
4 Hg 0.500 0.000 0.000  0.02
5 Hg 0.000 0.500 0.000  0.02

---

Q) The following is a DFT calculation (PBE) of a geometry-optimized CsHg2SbAu structure.

abc: 5.916 5.916 5.402
angles: 90.00 90.00 90.00
Positions (direct):
1 Sb 0.000 0.000 0.000
2 Au 0.000 0.000 0.500
3 Hg 0.000 0.500 0.000
4 Hg 0.500 0.000 0.000
5 Cs 0.500 0.500 0.500

---

Of them, Q) has the highest stability.